1.
Cs3Pr3SbO8 | PBE | relaxed

Calculated values
Its uncorrected formation energy is -2261 meV/atom. The value obtained for the uncorrected energy is -283.805 eV/cell. The calculation puts the density of states at the Fermi level at 5.13 states/eV/cell.

The structure in CIF format:
```
data_Cs3Pr3SbO8
_cell_length_a 7.2680
_cell_length_b 7.2680
_cell_length_c 21.1203
_cell_angle_alpha 90.00
_cell_angle_beta 90.00
_cell_angle_gamma 120.00
_symmetry_space_group_name_H-M 'R -3 m'
_symmetry_Int_Tables_number 166
_symmetry_space_group_name_Hall '-R 3 2"'
loop_
_atom_site_label
_atom_site_type_symbol
_atom_site_fract_x
_atom_site_fract_y
_atom_site_fract_z
Cs1 Cs 0.0000 0.5000 0.0000
Pr1 Pr 0.0000 0.5000 0.5000
Sb1 Sb 0.0000 0.0000 0.5000
O1 O 0.0000 0.0000 0.2219
O2 O 0.0343 0.5172 0.2192
```



2.
BeZn2Re | PBE | relaxed

Calculated values
The value obtained for the uncorrected energy is -35.796 eV/cell. The value obtained for the formation energy is 19.89 kJ/mol of atoms. The calculation puts the density of states at the Fermi level at 4.85 states/eV/cell.

The structure in CIF format:
```
data_BeZn2Re
_cell_length_a 4.9975
_cell_length_b 8.0586
_cell_length_c 2.6427
_cell_angle_alpha 90.00
_cell_angle_beta 90.00
_cell_angle_gamma 90.00
_symmetry_space_group_name_H-M 'C m m m'
_symmetry_Int_Tables_number 65
_symmetry_space_group_name_Hall '-C 2 2'
loop_
_atom_site_label
_atom_site_type_symbol
_atom_site_fract_x
_atom_site_fract_y
_atom_site_fract_z
Be1 Be 0.0000 0.0000 0.0000
Zn1 Zn 0.2500 0.2500 0.5000
Re1 Re 0.0000 0.5000 0.0000
```



3.
K2Tl2In3 | PBE | relaxed

Calculated values
The value obtained for the uncorrected energy is -31.489 eV/cell. The value obtained for the formation energy is -8.29 kJ/mol of atoms. The calculation puts the density of states at the Fermi level at 7.55 states/eV/cell.

The structure in CIF format:
```
data_K2Tl2In3
_cell_length_a 13.1338
_cell_length_b 5.1260
_cell_length_c 8.0174
_cell_angle_alpha 90.00
_cell_angle_beta 118.93
_cell_angle_gamma 90.00
_symmetry_space_group_name_H-M 'C 1 2/m 1'
_symmetry_Int_Tables_number 12
_symmetry_space_group_name_Hall '-C 2y'
loop_
_atom_site_label
_atom_site_type_symbol
_atom_site_fract_x
_atom_site_fract_y
_atom_site_fract_z
K1 K 0.1542 0.0000 0.2874
Tl1 Tl 0.1524 0.0000 0.7635
In1 In 0.0000 0.5000 0.5000
In2 In 0.0861 0.5000 0.9258
```



4.
EuHgPb2 | PBE | relaxed

Calculated values
Its offset from the most stable computed form is 0.0 meV per atom. The value obtained for the uncorrected energy is -19.464 eV/cell. The value obtained for the formation energy is -35.48 kJ/mol of atoms. The calculation puts the density of states at the Fermi level at 6.80 states/eV/cell.

The structure in CIF format:
```
data_EuHgPb2
_cell_length_a 4.9019
_cell_length_b 4.9019
_cell_length_c 4.7701
_cell_angle_alpha 90.00
_cell_angle_beta 90.00
_cell_angle_gamma 90.00
_symmetry_space_group_name_H-M 'P 4/m m m'
_symmetry_Int_Tables_number 123
_symmetry_space_group_name_Hall '-P 4 2'
loop_
_atom_site_label
_atom_site_type_symbol
_atom_site_fract_x
_atom_site_fract_y
_atom_site_fract_z
Eu1 Eu 0.0000 0.0000 0.0000
Hg1 Hg 0.5000 0.5000 0.0000
Pb1 Pb 0.0000 0.5000 0.5000
```



5.
B3MoS | PBE | relaxed

Calculated values
Its uncorrected formation energy is 1725 meV/atom. Its offset from the most stable computed form is 0.0 meV per atom. The value obtained for the uncorrected energy is -26.366 eV/cell. The calculation puts the density of states at the Fermi level at 3.88 states/eV/cell.

The structure in CIF format:
```
data_B3MoS
_cell_length_a 3.7655
_cell_length_b 3.7655
_cell_length_c 3.7655
_cell_angle_alpha 90.00
_cell_angle_beta 90.00
_cell_angle_gamma 90.00
_symmetry_space_group_name_H-M 'P m -3 m'
_symmetry_Int_Tables_number 221
_symmetry_space_group_name_Hall '-P 4 2 3'
loop_
_atom_site_label
_atom_site_type_symbol
_atom_site_fract_x
_atom_site_fract_y
_atom_site_fract_z
B1 B 0.0000 0.0000 0.5000
Mo1 Mo 0.5000 0.5000 0.5000
S1 S 0.0000 0.0000 0.0000
```



6.
Y3HfSi | PBE | relaxed

Calculated values
Its uncorrected formation energy is 278 meV/atom. Its offset from the most stable computed form is 0.0 meV per atom. The value obtained for the uncorrected energy is -33.377 eV/cell. The calculation puts the density of states at the Fermi level at 6.71 states/eV/cell.

The structure in CIF format:
```
data_Y3HfSi
_cell_length_a 5.3857
_cell_length_b 5.3857
_cell_length_c 5.3857
_cell_angle_alpha 90.00
_cell_angle_beta 90.00
_cell_angle_gamma 90.00
_symmetry_space_group_name_H-M 'P m -3 m'
_symmetry_Int_Tables_number 221
_symmetry_space_group_name_Hall '-P 4 2 3'
loop_
_atom_site_label
_atom_site_type_symbol
_atom_site_fract_x
_atom_site_fract_y
_atom_site_fract_z
Y1 Y 0.0000 0.0000 0.5000
Hf1 Hf 0.5000 0.5000 0.5000
Si1 Si 0.0000 0.0000 0.0000
```